{"formula": "CaMnVO4", "functional": "GGA+U", "state": "optimized geometry", "space_group": "No. 11", "dft_energy_ev_per_fu": -51.52, "total_magnetization_mub_per_atom": 0.86, "rho_g_cm3": 3.53, "lattice_angstrom": [[5.7347, 0.0000, 0.1312], [0.0000, 5.8448, 0.0000], [-2.0617, 0.0000, 5.8387]], "species": ["O", "O", "O", "O", "O", "O", "O", "O", "Ca", "Ca", "V", "V", "Mn", "Mn"], "frac_coords": [[0.5638, 0.2500, 0.3510], [0.0751, 0.5211, 0.2708], [0.4362, 0.7500, 0.6490], [0.9249, 0.0211, 0.7292], [0.0751, 0.9789, 0.2708], [0.5530, 0.7500, 0.2098], [0.4470, 0.2500, 0.7902], [0.9249, 0.4789, 0.7292], [0.7798, 0.7500, 0.9625], [0.2202, 0.2500, 0.0375], [0.3305, 0.7500, 0.3570], [0.6695, 0.2500, 0.6430], [0.8901, 0.7500, 0.4880], [0.1099, 0.2500, 0.5120]]}